No. 1
Below is a geometry-optimized YSn2Bi2 structure, with properties calculated at the PBE level.

Properties
E_form ... -70 kJ/mol of formula units
Distance to the lowest polymorph of the same formula ... 0.0095 eV per atom
Magnetization ... 0.00 μB per atom

a b c (Å): 8.2247 8.2247 4.4459
angles (deg): 90.00 90.00 90.00
With the nearest neighbours (Å) after each atom.
Space group P4/mbm (No. 127)
Unique sites:
Y 0.0000 0.0000 0.0000 [2 per cell]  4 Sn 3.21
Sn 0.1325 0.3675 0.0000 [4 per cell]  1 Sn 3.08, 6 Bi 3.15-3.39, 2 Y 3.21
Bi 0.1758 0.6758 0.5000 [4 per cell]  6 Sn 3.15-3.39



No. 2
Below is a geometry-optimized YSnBi2 structure, with properties calculated at the PBE level.

Properties
E_form ... 55 kJ/mol of formula units
Magnetization ... 0.00 μB per atom

a b c (Å): 4.7722 4.7722 26.4269
angles (deg): 90.00 90.00 120.00
With the nearest neighbours (Å) after each atom.
Space group R-3m (No. 166, hexagonal axes)
Unique sites:
Y 0.0000 0.0000 0.0000 [3 per cell]  6 Bi 3.15
Sn 0.0000 0.0000 0.5000 [3 per cell]  2 Bi 2.89
Bi 0.0000 0.0000 0.3908 [6 per cell]  1 Sn 2.89, 3 Y 3.15



No. 3
Below is a geometry-optimized Y3SnBi structure, with properties calculated at the PBE level.

Properties
E_form ... -47 kJ/mol of formula units
Distance to the lowest polymorph of the same formula ... 0.4536 eV per atom
Magnetization ... 0.00 μB per atom

a b c (Å): 5.6648 5.6648 5.6648
angles (deg): 90.00 90.00 90.00
With the nearest neighbours (Å) after each atom.
Space group Pm-3m (No. 221)
Unique sites:
Y 0.0000 0.0000 0.5000 [3 per cell]  2 Sn 2.83
Sn 0.0000 0.0000 0.0000 [1 per cell]  6 Y 2.83
Bi 0.5000 0.5000 0.5000 [1 per cell]  12 Y 4.01



No. 4
Below is a geometry-optimized Y4SnBi2 structure, with properties calculated at the PBE level.

Properties
E_form ... -187 kJ/mol of formula units
Magnetization ... 0.00 μB per atom

a b c (Å): 5.5464 5.5464 16.2733
angles (deg): 90.00 90.00 90.00
With the nearest neighbours (Å) after each atom.
Space group I4/mmm (No. 139)
Unique sites:
Y 0.0000 0.0000 0.1793 [4 per cell]  1 Sn 2.92, 1 Bi 3.07
Y 0.0000 0.5000 0.0000 [4 per cell]  2 Sn 2.77
Sn 0.0000 0.0000 0.0000 [2 per cell]  6 Y 2.77-2.92
Bi 0.0000 0.0000 0.3681 [4 per cell]  1 Y 3.07